No. 1
RbUPd: relaxed, PBE.

Computed properties:
The excess energy over the best structure of this formula in the dataset comes out at 0.000 eV/atom. For the total energy, the calculation gives -57.32 eV per cell.

Cell: 7.2712 7.2712 7.2712 Å, 90.00 90.00 90.00°
Closest atoms and distances in Å follow each position.
Space group F-43m (No. 216)
Asymmetric unit:
Rb  0.0000  0.0000  0.0000  4 Pd 3.15
U  0.0000  0.0000  0.5000  4 Pd 3.15
Pd  0.2500  0.2500  0.2500  4 U 3.15, 4 Rb 3.15

No. 2
La2NdGe3PdPt2: relaxed, PBE.

Computed properties:
For the total energy, the calculation gives -108.94 eV per cell.

Cell: 4.0671 12.8607 7.4565 Å, 90.00 90.00 90.00°
Closest atoms and distances in Å follow each position.
Space group Amm2 (No. 38)
Asymmetric unit:
La  0.0000  0.2063  0.0000  4 Pt 3.03-3.04, 1 Pd 3.08, 6 Ge 3.26-3.38
Nd  0.0000  0.0000  0.3839  4 Pt 3.03, 1 Pd 3.03, 6 Ge 3.27-3.33
Ge  0.5000  0.0000  0.0413  2 Pd 2.76, 2 Pt 2.84
Ge  0.5000  0.1211  0.6687  2 Pd 2.72, 2 Pt 2.87-2.89
Pd  0.0000  0.0000  0.7908  6 Ge 2.72-2.76, 1 Nd 3.03
Pt  0.5000  0.1663  0.2925  3 Ge 2.84-2.89, 4 La 3.03-3.04, 2 Nd 3.03